Entry 1:
DFT (PBE) results for a geometry-optimized Ba2MnCu2S6 structure.

```
Ba2MnCu2S6
1.0
-1.816 2.076 6.246
-6.550 1.347 1.380
-3.647 -4.806 4.269
S Ba Cu Mn
6 2 2 1
Direct
0.233 0.233 0.752 S
0.218 0.767 0.248 S
0.767 0.218 0.248 S
0.233 0.782 0.752 S
0.767 0.767 0.248 S
0.782 0.233 0.752 S
0.231 0.231 0.308 Ba
0.769 0.769 0.692 Ba
0.409 0.409 0.774 Cu
0.591 0.591 0.226 Cu
0.000 0.000 0.000 Mn
```

Computed properties:
Theoretical density = 4.270 Mg/m³
Crystal system = trigonal
Raw formation energy = -9.6 eV/f.u.



Entry 2:
DFT (PBE) results for a geometry-optimized LaZrSeN2 structure.

```
LaZrSeN2
1.0
4.284 0.000 0.000
0.000 4.284 0.000
0.000 0.000 5.272
La N Zr Se
1 2 1 1
Direct
0.500 0.500 0.500 La
0.500 0.000 0.000 N
0.000 0.500 0.000 N
0.000 0.000 0.000 Zr
0.000 0.000 0.500 Se
```

Computed properties:
ΔE to the lowest computed polymorph = 0.0 meV per atom
Theoretical density = 5.787 Mg/m³
Crystal system = tetragonal
Raw formation energy = -4.2 eV/f.u.



Entry 3:
DFT (PBE) results for a geometry-optimized LiMnTe2 structure.

```
LiMnTe2
1.0
3.966 0.000 0.000
0.000 3.217 -0.030
0.000 0.271 7.670
Te Li Mn
2 1 1
Direct
0.000 0.526 0.509 Te
0.000 0.974 0.991 Te
0.500 0.250 0.250 Li
0.500 0.750 0.750 Mn
```

Computed properties:
Theoretical density = 5.378 Mg/m³
Crystal system = monoclinic
Raw formation energy = -0.9 eV/f.u.



Entry 4:
DFT (PBE) results for a geometry-optimized Tl3Te12As5 structure.

```
Tl3Te12As5
1.0
15.363 0.000 0.000
-5.121 14.484 0.000
-5.121 -7.242 12.543
Te As Tl
48 20 12
Direct
0.616 0.586 0.908 Te
0.908 0.822 0.792 Te
0.208 0.678 0.092 Te
0.616 0.030 0.208 Te
0.178 0.092 0.708 Te
0.414 0.384 0.592 Te
0.208 0.530 0.616 Te
0.970 0.586 0.178 Te
0.408 0.116 0.586 Te
0.586 0.616 0.408 Te
0.822 0.914 0.030 Te
0.678 0.208 0.592 Te
0.678 0.470 0.586 Te
0.884 0.292 0.470 Te
0.708 0.592 0.178 Te
0.384 0.414 0.092 Te
0.586 0.970 0.678 Te
0.030 0.616 0.708 Te
0.708 0.116 0.030 Te
0.970 0.384 0.292 Te
0.178 0.086 0.970 Te
0.322 0.530 0.414 Te
0.792 0.470 0.384 Te
0.914 0.822 0.530 Te
0.030 0.414 0.822 Te
0.884 0.592 0.914 Te
0.592 0.884 0.414 Te
0.470 0.792 0.884 Te
0.530 0.208 0.116 Te
0.592 0.708 0.678 Te
0.322 0.792 0.408 Te
0.414 0.030 0.322 Te
0.470 0.678 0.086 Te
0.908 0.086 0.616 Te
0.116 0.708 0.530 Te
0.792 0.322 0.908 Te
0.092 0.178 0.208 Te
0.408 0.292 0.322 Te
0.292 0.408 0.822 Te
0.914 0.092 0.884 Te
0.384 0.970 0.792 Te
0.822 0.908 0.292 Te
0.086 0.908 0.116 Te
0.292 0.884 0.970 Te
0.530 0.322 0.914 Te
0.092 0.914 0.384 Te
0.116 0.408 0.086 Te
0.086 0.178 0.470 Te
0.500 0.000 0.500 As
0.000 0.000 0.500 As
0.625 0.875 0.250 As
0.000 0.500 0.000 As
0.500 0.500 0.000 As
0.500 0.500 0.500 As
0.125 0.375 0.250 As
0.750 0.625 0.375 As
0.375 0.125 0.750 As
0.000 0.500 0.500 As
0.500 0.000 0.000 As
0.375 0.250 0.125 As
0.875 0.625 0.750 As
0.250 0.375 0.625 As
0.250 0.875 0.125 As
0.125 0.750 0.375 As
0.000 0.000 0.000 As
0.750 0.125 0.875 As
0.875 0.250 0.625 As
0.625 0.750 0.875 As
0.625 0.250 0.375 Tl
0.250 0.125 0.375 Tl
0.875 0.125 0.250 Tl
0.375 0.625 0.250 Tl
0.750 0.375 0.125 Tl
0.750 0.875 0.625 Tl
0.250 0.625 0.875 Tl
0.375 0.750 0.625 Tl
0.875 0.750 0.125 Tl
0.125 0.875 0.750 Tl
0.625 0.375 0.750 Tl
0.125 0.250 0.875 Tl
```

Computed properties:
Theoretical density = 5.995 Mg/m³
Crystal system = cubic
Raw formation energy = 2.1 eV/f.u.



Entry 5:
DFT (PBE) results for a geometry-optimized SrCa3H structure.

```
SrCa3H
1.0
-0.718 -3.524 4.173
2.289 -4.016 -2.997
4.959 1.344 1.987
Ca H Sr
3 1 1
Direct
0.500 0.000 0.000 Ca
0.000 0.500 0.000 Ca
0.000 0.000 0.500 Ca
0.000 0.000 0.000 H
0.500 0.500 0.500 Sr
```

Computed properties:
Theoretical density = 2.074 Mg/m³
Crystal system = cubic
Electronic total energy = -2.28 eV/atom



Entry 6:
DFT (PBE) results for a geometry-optimized CuRh2 structure.

```
CuRh2
1.0
0.000 3.588 3.588
3.588 0.000 3.588
3.588 3.588 0.000
Cu Rh
2 4
Direct
0.500 0.500 0.500 Cu
0.750 0.750 0.750 Cu
0.625 0.125 0.125 Rh
0.125 0.125 0.625 Rh
0.125 0.125 0.125 Rh
0.125 0.625 0.125 Rh
```

Computed properties:
ΔE to the lowest computed polymorph = 456.6 meV per atom
Theoretical density = 9.682 Mg/m³
Energy of formation = 500 meV/atom
Crystal system = cubic



Entry 7:
DFT (PBE) results for a geometry-optimized LaTa2Mn structure.

```
LaTa2Mn
1.0
-4.410 1.649 3.350
3.295 -4.547 1.364
1.488 1.107 2.321
Ta La Mn
2 1 1
Direct
0.000 0.000 0.000 Ta
0.500 0.500 0.000 Ta
0.500 0.000 0.500 La
0.000 0.500 0.500 Mn
```

Computed properties:
ΔE to the lowest computed polymorph = 352.3 meV per atom
Theoretical density = 11.708 Mg/m³
Energy of formation = 611 meV/atom
Crystal system = monoclinic



Entry 8:
DFT (PBE) results for a geometry-optimized RbSr2Re2 structure.

```
RbSr2Re2
1.0
9.536 0.000 0.000
0.000 9.536 0.000
0.000 0.000 3.357
Re Rb Sr
4 2 4
Direct
0.083 0.417 0.000 Re
0.417 0.917 0.000 Re
0.583 0.083 0.000 Re
0.917 0.583 0.000 Re
0.000 0.000 0.000 Rb
0.500 0.500 0.000 Rb
0.688 0.812 0.500 Sr
0.812 0.312 0.500 Sr
0.312 0.188 0.500 Sr
0.188 0.688 0.500 Sr
```

Computed properties:
ΔE to the lowest computed polymorph = 0.0 meV per atom
Theoretical density = 6.888 Mg/m³
Energy of formation = 1051 meV/atom
Crystal system = tetragonal



Entry 9:
DFT (PBE) results for a geometry-optimized TlRe2Ag structure.

```
TlRe2Ag
1.0
3.005 0.000 0.000
0.000 3.005 0.000
0.000 0.000 8.180
Tl Re Ag
1 2 1
Direct
0.000 0.000 0.488 Tl
0.500 0.500 0.207 Re
0.000 0.000 0.032 Re
0.500 0.500 0.773 Ag
```

Computed properties:
ΔE to the lowest computed polymorph = 0.0 meV per atom
Theoretical density = 15.390 Mg/m³
Energy of formation = 463 meV/atom
Crystal system = tetragonal



Entry 10:
DFT (PBE) results for a geometry-optimized YCdGa3 structure.

```
YCdGa3
1.0
-2.210 4.555 -0.081
-4.553 -2.211 -0.110
-0.134 0.025 5.061
Y Ga Cd
1 3 1
Direct
0.500 0.500 0.500 Y
0.000 0.000 0.500 Ga
0.000 0.500 0.000 Ga
0.500 0.000 0.000 Ga
0.000 0.000 0.000 Cd
```

Computed properties:
ΔE to the lowest computed polymorph = 0.0 meV per atom
Theoretical density = 5.252 Mg/m³
Energy of formation = 294 meV/atom
Crystal system = cubic



Entry 11:
DFT (PBE) results for a geometry-optimized BeHg2OsAu structure.

```
BeHg2OsAu
1.0
5.242 0.000 0.000
0.000 4.193 0.000
0.000 0.000 5.242
Os Hg Au Be
1 2 1 1
Direct
0.000 0.000 0.000 Os
0.500 0.000 0.000 Hg
0.000 0.000 0.500 Hg
0.500 0.500 0.500 Au
0.000 0.500 0.000 Be
```

Computed properties:
Theoretical density = 11.491 Mg/m³
Energy of formation = 1025 meV/atom
Crystal system = tetragonal



Entry 12:
DFT (PBE) results for a geometry-optimized Sm4ThBi6 structure.

```
Sm4ThBi6
1.0
-1.558 -3.753 2.046
7.099 1.656 3.386
-9.968 12.262 14.903
Bi Sm Th
12 8 2
Direct
0.695 0.390 0.750 Bi
0.959 0.917 0.825 Bi
0.305 0.610 0.250 Bi
0.959 0.917 0.675 Bi
0.500 0.000 0.500 Bi
0.041 0.083 0.325 Bi
0.041 0.083 0.175 Bi
0.765 0.530 0.095 Bi
0.235 0.470 0.595 Bi
0.765 0.530 0.405 Bi
0.500 0.000 0.000 Bi
0.235 0.470 0.905 Bi
0.593 0.186 0.629 Sm
0.593 0.186 0.871 Sm
0.859 0.719 0.540 Sm
0.141 0.281 0.460 Sm
0.407 0.814 0.371 Sm
0.141 0.281 0.040 Sm
0.407 0.814 0.129 Sm
0.859 0.719 0.960 Sm
0.339 0.679 0.750 Th
0.661 0.321 0.250 Th
```

Computed properties:
Theoretical density = 9.100 Mg/m³
Energy of formation = -656 meV/atom
Crystal system = orthorhombic



Entry 13:
DFT (PBE) results for a geometry-optimized VAg2Se structure.

```
VAg2Se
1.0
-2.034 -5.213 5.529
-0.904 -5.517 -5.535
0.998 -6.041 0.268
Ag V Se
4 2 2
Direct
0.875 0.900 0.750 Ag
0.375 0.350 0.750 Ag
0.650 0.125 0.250 Ag
0.100 0.625 0.250 Ag
0.250 0.750 0.500 V
0.500 0.500 0.000 V
0.000 0.000 0.000 Se
0.750 0.250 0.500 Se
```

Computed properties:
Theoretical density = 7.212 Mg/m³
Crystal system = tetragonal
Raw formation energy = 1.4 eV/f.u.



Entry 14:
DFT (PBE) results for a geometry-optimized Ho2NCl structure.

```
Ho2NCl
1.0
-1.684 -1.964 2.387
0.424 -3.495 0.020
4.825 -1.160 5.046
Ho Cl N
2 1 1
Direct
0.061 0.061 0.817 Ho
0.270 0.270 0.190 Ho
0.498 0.498 0.506 Cl
0.671 0.671 0.986 N
```

Computed properties:
Theoretical density = 8.655 Mg/m³
Crystal system = trigonal
Raw formation energy = -6.2 eV/f.u.



Entry 15:
DFT (PBE) results for a geometry-optimized CaSbIrO6 structure.

```
CaSbIrO6
1.0
5.307 0.000 0.000
-2.654 4.596 0.000
0.000 0.000 10.079
O Ir Sb Ca
12 2 2 2
Direct
0.367 0.007 0.143 O
0.640 0.007 0.357 O
0.360 0.993 0.643 O
0.633 0.640 0.643 O
0.993 0.633 0.357 O
0.360 0.367 0.857 O
0.367 0.360 0.357 O
0.633 0.993 0.857 O
0.007 0.640 0.857 O
0.640 0.633 0.143 O
0.007 0.367 0.643 O
0.993 0.360 0.143 O
0.333 0.667 0.750 Ir
0.667 0.333 0.250 Ir
0.333 0.667 0.250 Sb
0.667 0.333 0.750 Sb
0.000 0.000 0.000 Ca
0.000 0.000 0.500 Ca
```

Computed properties:
Theoretical density = 6.080 Mg/m³
Crystal system = trigonal
Raw formation energy = -14.0 eV/f.u.



Entry 16:
DFT (PBE) results for a geometry-optimized VRuRh structure.

```
VRuRh
1.0
-4.533 0.654 -0.470
-0.292 -6.003 -5.552
0.811 -3.158 3.372
V Rh Ru
4 4 4
Direct
0.500 0.991 0.500 V
0.500 0.659 0.500 V
0.500 0.159 0.000 V
0.500 0.491 0.000 V
0.000 0.654 0.000 Rh
0.500 0.826 0.000 Rh
0.500 0.326 0.500 Rh
0.000 0.154 0.500 Rh
0.000 0.487 0.500 Ru
0.000 0.822 0.500 Ru
0.000 0.322 0.000 Ru
0.000 0.987 0.000 Ru
```

Computed properties:
ΔE to the lowest computed polymorph = 109.9 meV per atom
Theoretical density = 10.187 Mg/m³
Energy of formation = -173 meV/atom
Crystal system = monoclinic



Entry 17:
DFT (PBE) results for a geometry-optimized Ta2Pd4Au3 structure.

```
Ta2Pd4Au3
1.0
3.967 0.000 0.000
1.983 4.326 1.203
-0.001 0.306 8.689
Au Pd Ta
3 4 2
Direct
0.331 0.338 0.440 Au
0.669 0.662 0.560 Au
0.000 0.000 0.000 Au
0.668 0.663 0.892 Pd
0.001 0.999 0.678 Pd
0.332 0.337 0.108 Pd
0.999 0.001 0.322 Pd
0.669 0.662 0.223 Ta
0.331 0.338 0.777 Ta
```

Computed properties:
Theoretical density = 15.504 Mg/m³
Energy of formation = -319 meV/atom
Crystal system = monoclinic



Entry 18:
DFT (PBE) results for a geometry-optimized P2IrS2 structure.

```
P2IrS2
1.0
-4.400 1.702 0.141
-0.539 -1.014 -4.578
-1.529 -4.042 1.076
S P Ir
2 2 1
Direct
0.000 0.500 0.000 S
0.500 0.000 0.000 S
0.000 0.000 0.500 P
0.500 0.500 0.500 P
0.000 0.000 0.000 Ir
```

Computed properties:
ΔE to the lowest computed polymorph = 61.7 meV per atom
Theoretical density = 5.327 Mg/m³
Crystal system = tetragonal
Raw formation energy = 4.6 eV/f.u.



Entry 19:
DFT (PBE) results for a geometry-optimized AgP2SO structure.

```
AgP2SO
1.0
-3.361 -1.003 -2.076
-0.361 -3.396 2.225
-2.629 2.330 3.129
O P Ag S
1 2 1 1
Direct
0.000 0.000 0.000 O
0.500 0.000 0.000 P
0.000 0.500 0.000 P
0.500 0.500 0.500 Ag
0.000 0.000 0.500 S
```

Computed properties:
ΔE to the lowest computed polymorph = 194.2 meV per atom
Theoretical density = 4.630 Mg/m³
Crystal system = tetragonal
Raw formation energy = 3.4 eV/f.u.



Entry 20:
DFT (PBE) results for a geometry-optimized SrTl3In3 structure.

```
SrTl3In3
1.0
-7.071 2.983 2.985
-4.031 -6.496 -3.059
1.247 -4.088 7.039
Tl In Sr
6 6 2
Direct
0.000 0.500 0.250 Tl
0.500 0.250 0.000 Tl
0.250 0.000 0.500 Tl
0.000 0.500 0.750 Tl
0.500 0.750 0.000 Tl
0.750 0.000 0.500 Tl
0.500 0.000 0.750 In
0.750 0.500 0.000 In
0.500 0.000 0.250 In
0.000 0.750 0.500 In
0.000 0.250 0.500 In
0.250 0.500 0.000 In
0.500 0.500 0.500 Sr
0.000 0.000 0.000 Sr
```

Computed properties:
ΔE to the lowest computed polymorph = 307.1 meV per atom
Theoretical density = 6.216 Mg/m³
Energy of formation = 192 meV/atom
Crystal system = cubic